Material: CePr2Rh2
Method: DFT, PBE
State: optimized geometry

a b c (Å): 7.4223 7.4223 7.4223
angles (deg): 116.11 86.09 128.91
Closest atoms and distances in Å follow each position.
Fractional positions:
1 Ce 0.2500 0.2500 0.0000  4 Rh 2.76
2 Ce 0.7500 0.7500 0.0000  4 Rh 2.76
3 Pr 0.1608 0.6312 0.7920  3 Rh 2.86-3.04
4 Pr 0.3392 0.1312 0.4704  3 Rh 2.86-3.04
5 Pr 0.6608 0.8688 0.5296  3 Rh 2.86-3.04
6 Pr 0.8392 0.3688 0.2080  3 Rh 2.86-3.04
7 Rh 0.0916 0.2566 0.3482  2 Ce 2.76, 3 Pr 2.86-3.04
8 Rh 0.4084 0.7566 0.1650  2 Ce 2.76, 3 Pr 2.86-3.04
9 Rh 0.5916 0.2434 0.8350  2 Ce 2.76, 3 Pr 2.86-3.04
10 Rh 0.9084 0.7434 0.6518  2 Ce 2.76, 3 Pr 2.86-3.04

Properties
As for the space group: Ibam (72). The energy of formation from the pure elements is -0.4878 eV/atom. The distance to the lowest polymorph of the same formula is 0.128 eV/atom.

Material: Ca2ErTmS4
Method: DFT, PBE
State: optimized geometry

a b c (Å): 6.7663 3.9105 6.8810
angles (deg): 90.00 109.18 90.00
Closest atoms and distances in Å follow each position.
Fractional positions:
1 Ca 0.0000 0.0000 0.0000  6 S 2.82
2 Ca 0.5000 0.5000 0.0000  6 S 2.81
3 Er 0.0000 0.5000 0.5000  6 S 2.75
4 Tm 0.5000 0.0000 0.5000  6 S 2.74
5 S 0.2483 0.0000 0.7411  1 Tm 2.74, 2 Er 2.75, 3 Ca 2.81-2.82
6 S 0.2540 0.5000 0.2597  2 Tm 2.74, 1 Er 2.75, 3 Ca 2.81-2.82
7 S 0.7460 0.5000 0.7403  2 Tm 2.74, 1 Er 2.75, 3 Ca 2.81-2.82
8 S 0.7517 0.0000 0.2589  1 Tm 2.74, 2 Er 2.75, 3 Ca 2.81-2.82

Properties
As for the space group: P2/m (10). The formation energy from raw total energies is -2035 meV/atom.

| no. | DOS(E_F) (states/eV/f.u.) | E (eV/cell) |
| --- | --- | --- |
| 1 | 6.79 | -65.27 |
| 2 | 3.38 | -45.83 |